Compound: PmNd2NO2
Source: OQMD
Functional: PBE
Structure: relaxed

The structure in POSCAR format:
```
PmNd2NO2
1.0
3.561 0.000 0.000
-1.781 3.084 0.000
0.000 0.000 8.731
Nd O Pm N
2 2 1 1
Direct
0.000 0.000 0.000 Nd
0.333 0.667 0.662 Nd
0.333 0.667 0.165 O
0.667 0.333 0.839 O
0.667 0.333 0.338 Pm
0.000 0.000 0.496 N
```

Results
distance to the lowest polymorph of the same formula: 0.0 meV/atom
symmetry: No. 156
crystal system: trigonal